! GdHoScIn | the Alexandria database | PBE | relaxed; values from VASP
&SYSTEM
  ibrav = 0, nat = 4, ntyp = 4
/
ATOMIC_SPECIES
Sc 44.96 Sc.upf
Gd 157.25 Gd.upf
In 114.82 In.upf
Ho 164.93 Ho.upf
ATOMIC_POSITIONS angstrom
Sc 0.000 0.000 0.000
Gd -8.091 -3.208 4.565
In -5.394 -2.139 3.043
Ho -2.697 -1.069 1.522
CELL_PARAMETERS angstrom
-5.349 -0.007 -0.081
-2.693 -4.345 1.577
-2.745 0.075 4.591
! size of the total moment	2.092	μB per atom
! DFT total energy	-7.100	eV/atom